one | ## TbDyHo6 (PBE-GGA)

Data for a relaxed TbDyHo6 crystal.

abc: 6.4961 6.6813 6.8796
angles: 61.03 76.58 89.95
Positions (direct):
Tb 0.0000 0.0000 0.0000
Dy 0.5000 0.0000 0.0000
Ho 0.2303 0.5741 0.5199
Ho 0.2504 0.5471 0.9993
Ho 0.2699 0.0945 0.4783
Ho 0.7301 0.9055 0.5217
Ho 0.7496 0.4529 0.0007
Ho 0.7697 0.4259 0.4801

Summary:
M_tot: 0.000 μB per formula unit



two | ## TbDyHo6 (PBE-GGA)

Data for a relaxed TbDyHo6 crystal.

abc: 4.9791 6.1025 9.3054
angles: 90.18 105.44 114.04
Positions (direct):
Tb 0.0000 0.0000 0.0000
Dy 0.5000 0.5000 0.5000
Ho 0.1251 0.8751 0.3752
Ho 0.2498 0.7497 0.7498
Ho 0.3752 0.6252 0.1252
Ho 0.6248 0.3748 0.8748
Ho 0.7502 0.2503 0.2502
Ho 0.8749 0.1249 0.6248

Summary:
M_tot: 0.000 μB per formula unit



Which structure is the most stable? The one labeled two.



one | ## Tb5DyHo5 (PBE-GGA)

Data for a relaxed Tb5DyHo5 crystal.

abc: 6.8264 6.9157 8.2750
angles: 76.06 76.80 72.37
Positions (direct):
Tb 0.0000 0.0000 0.0000
Tb 0.1551 0.1335 0.3580
Tb 0.3230 0.2701 0.6538
Tb 0.6770 0.7299 0.3462
Tb 0.8449 0.8665 0.6420
Dy 0.0000 0.5000 0.0000
Ho 0.2106 0.6394 0.3108
Ho 0.3534 0.7492 0.7205
Ho 0.5000 0.0000 0.0000
Ho 0.6466 0.2508 0.2795
Ho 0.7894 0.3606 0.6892

Summary:
M_tot: 0.000 μB per formula unit



two | ## Tb5DyHo5 (PBE-GGA)

Data for a relaxed Tb5DyHo5 crystal.

abc: 6.0288 6.0288 11.5180
angles: 90.00 90.00 120.00
Positions (direct):
Tb 0.0000 0.0000 0.0000
Tb 0.3333 0.6667 0.3181
Tb 0.3333 0.6667 0.6819
Tb 0.6667 0.3333 0.1556
Tb 0.6667 0.3333 0.8444
Dy 0.3333 0.6667 0.0000
Ho 0.0000 0.0000 0.2648
Ho 0.0000 0.0000 0.7352
Ho 0.3352 0.1676 0.5000
Ho 0.8324 0.1676 0.5000
Ho 0.8324 0.6648 0.5000

Summary:
M_tot: 0.001 μB per formula unit



Which structure is the most stable? The one labeled one.



one | ## TbDy9Ho2 (PBE-GGA)

Data for a relaxed TbDy9Ho2 crystal.

abc: 11.1674 11.1674 3.4789
angles: 90.00 90.00 120.00
Positions (direct):
Tb 0.0000 0.0000 0.0000
Dy 0.0000 0.5000 0.0000
Dy 0.1764 0.3527 0.5000
Dy 0.1764 0.8236 0.5000
Dy 0.3527 0.1764 0.5000
Dy 0.5000 0.0000 0.0000
Dy 0.5000 0.5000 0.0000
Dy 0.6473 0.8236 0.5000
Dy 0.8236 0.1764 0.5000
Dy 0.8236 0.6473 0.5000
Ho 0.3333 0.6667 0.0000
Ho 0.6667 0.3333 0.0000

Summary:
M_tot: 0.000 μB per formula unit



two | ## TbDy9Ho2 (PBE-GGA)

Data for a relaxed TbDy9Ho2 crystal.

abc: 4.9969 4.9969 14.9975
angles: 90.00 90.00 90.00
Positions (direct):
Tb 0.0000 0.0000 0.0000
Dy 0.0000 0.5000 0.1672
Dy 0.0000 0.5000 0.5000
Dy 0.0000 0.5000 0.8328
Dy 0.5000 0.0000 0.1672
Dy 0.5000 0.0000 0.5000
Dy 0.5000 0.0000 0.8328
Dy 0.5000 0.5000 0.0000
Dy 0.5000 0.5000 0.3337
Dy 0.5000 0.5000 0.6663
Ho 0.0000 0.0000 0.3335
Ho 0.0000 0.0000 0.6665

Summary:
M_tot: 0.000 μB per formula unit



Which structure is the most stable? The one labeled two.



one | ## Tb5Dy2Ho3 (PBE-GGA)

Data for a relaxed Tb5Dy2Ho3 crystal.

abc: 9.4301 9.4301 9.4643
angles: 108.19 108.19 111.82
Positions (direct):
Tb 0.0281 0.9719 0.7500
Tb 0.1072 0.3520 0.7095
Tb 0.2242 0.7758 0.7500
Tb 0.2699 0.7301 0.2500
Tb 0.3520 0.1072 0.2095
Tb 0.6480 0.8928 0.7905
Tb 0.7301 0.2699 0.7500
Tb 0.7758 0.2242 0.2500
Tb 0.8928 0.6480 0.2905
Tb 0.9719 0.0281 0.2500
Dy 0.2349 0.4880 0.4531
Dy 0.4880 0.2349 0.9531
Dy 0.5120 0.7651 0.0469
Dy 0.7651 0.5120 0.5469
Ho 0.0378 0.2795 0.0464
Ho 0.2795 0.0378 0.5464
Ho 0.4779 0.5221 0.2500
Ho 0.5221 0.4779 0.7500
Ho 0.7205 0.9622 0.4536
Ho 0.9622 0.7205 0.9536

Summary:
M_tot: 0.000 μB per formula unit



two | ## Tb5Dy2Ho3 (PBE-GGA)

Data for a relaxed Tb5Dy2Ho3 crystal.

abc: 12.2644 12.2644 12.2644
angles: 135.48 55.78 148.14
Positions (direct):
Tb 0.0006 0.7500 0.2506
Tb 0.1253 0.0938 0.2191
Tb 0.2500 0.2500 0.0000
Tb 0.3747 0.5938 0.9685
Tb 0.4994 0.7500 0.7494
Tb 0.5006 0.2500 0.2506
Tb 0.6253 0.4062 0.0315
Tb 0.7500 0.7500 0.0000
Tb 0.8747 0.9062 0.7809
Tb 0.9994 0.2500 0.7494
Dy 0.1243 0.4070 0.5313
Dy 0.3757 0.9070 0.2827
Dy 0.6243 0.0930 0.7173
Dy 0.8757 0.5930 0.4687
Ho 0.1236 0.7493 0.8729
Ho 0.2500 0.7500 0.5000
Ho 0.3764 0.2493 0.6256
Ho 0.6236 0.7507 0.3744
Ho 0.7500 0.2500 0.5000
Ho 0.8764 0.2507 0.1271

Summary:
M_tot: 0.000 μB per formula unit



Which structure is the most stable? The one labeled one.



one | ## TbDy4Ho5 (PBE-GGA)

Data for a relaxed TbDy4Ho5 crystal.

abc: 6.2332 6.6696 9.1354
angles: 72.27 89.99 62.15
Positions (direct):
Tb 0.0000 0.0000 0.0000
Dy 0.1995 0.5999 0.3996
Dy 0.2665 0.7995 0.6999
Dy 0.5993 0.7994 0.1997
Dy 0.6665 0.9996 0.4996
Ho 0.0668 0.2003 0.3001
Ho 0.3994 0.1998 0.7993
Ho 0.4672 0.3990 0.0995
Ho 0.7993 0.3997 0.6001
Ho 0.8670 0.6000 0.8997

Summary:
M_tot: 0.001 μB per formula unit



two | ## TbDy4Ho5 (PBE-GGA)

Data for a relaxed TbDy4Ho5 crystal.

abc: 3.5318 6.6701 13.9394
angles: 98.28 92.21 104.39
Positions (direct):
Tb 0.0000 0.0000 0.0000
Dy 0.1321 0.8140 0.2143
Dy 0.1718 0.7216 0.8062
Dy 0.8282 0.2784 0.1938
Dy 0.8679 0.1860 0.7857
Ho 0.2003 0.8790 0.5840
Ho 0.4833 0.4239 0.6144
Ho 0.5000 0.5000 0.0000
Ho 0.5167 0.5761 0.3856
Ho 0.7997 0.1210 0.4160

Summary:
M_tot: 0.000 μB per formula unit



Which structure is the most stable? The one labeled one.



one | ## Tb2Dy3Ho2 (PBE-GGA)

Data for a relaxed Tb2Dy3Ho2 crystal.

abc: 8.8164 8.8164 8.4970
angles: 118.63 118.63 22.76
Positions (direct):
Tb 0.1464 0.1464 0.3240
Tb 0.8536 0.8536 0.6760
Dy 0.0000 0.0000 0.5000
Dy 0.2121 0.2121 0.8028
Dy 0.7879 0.7879 0.1972
Ho 0.4348 0.4348 0.0925
Ho 0.5652 0.5652 0.9075

Summary:
M_tot: 0.000 μB per formula unit



two | ## Tb2Dy3Ho2 (PBE-GGA)

Data for a relaxed Tb2Dy3Ho2 crystal.

abc: 6.1186 6.1186 10.6201
angles: 95.60 95.60 33.53
Positions (direct):
Tb 0.2142 0.2142 0.3568
Tb 0.7858 0.7858 0.6432
Dy 0.3574 0.3574 0.9288
Dy 0.5000 0.5000 0.5000
Dy 0.6427 0.6427 0.0712
Ho 0.0715 0.0715 0.7862
Ho 0.9285 0.9285 0.2138

Summary:
M_tot: 0.000 μB per formula unit



Which structure is the most stable? The one labeled two.



one | ## Tb2DyHo6 (PBE-GGA)

Data for a relaxed Tb2DyHo6 crystal.

abc: 14.7391 14.7391 3.4478
angles: 90.06 90.06 21.82
Positions (direct):
Tb 0.1666 0.1666 0.0001
Tb 0.8334 0.8334 0.9999
Dy 0.5000 0.5000 0.0000
Ho 0.0554 0.0554 0.4998
Ho 0.2778 0.2778 0.5002
Ho 0.3891 0.3891 0.4995
Ho 0.6109 0.6109 0.5005
Ho 0.7222 0.7222 0.4998
Ho 0.9446 0.9446 0.5002

Summary:
M_tot: 0.000 μB per formula unit



two | ## Tb2DyHo6 (PBE-GGA)

Data for a relaxed Tb2DyHo6 crystal.

abc: 10.5732 10.5732 4.9884
angles: 90.00 90.00 90.00
Positions (direct):
Tb 0.1667 0.1667 0.0000
Tb 0.3333 0.6667 0.5000
Tb 0.6667 0.3333 0.5000
Tb 0.8333 0.8333 0.0000
Dy 0.0000 0.0000 0.5000
Dy 0.5000 0.5000 0.0000
Ho 0.0001 0.3336 0.5000
Ho 0.9999 0.6664 0.5000
Ho 0.1664 0.5001 0.0000
Ho 0.1668 0.8332 0.0000
Ho 0.3332 0.3332 0.5000
Ho 0.3336 0.0001 0.5000
Ho 0.5001 0.1664 0.0000
Ho 0.4999 0.8336 0.0000
Ho 0.6664 0.9999 0.5000
Ho 0.6668 0.6668 0.5000
Ho 0.8332 0.1668 0.0000
Ho 0.8336 0.4999 0.0000

Summary:
M_tot: 0.000 μB per formula unit



Which structure is the most stable? The one labeled two.



one | ## TbDy4Ho (PBE-GGA)

Data for a relaxed TbDy4Ho crystal.

abc: 6.5321 6.5321 6.5321
angles: 60.00 60.00 60.00
Positions (direct):
Tb 0.0000 0.0000 0.0000
Dy 0.3751 0.3751 0.3751
Dy 0.3751 0.3751 0.8748
Dy 0.3751 0.8748 0.3751
Dy 0.8748 0.3751 0.3751
Ho 0.7500 0.7500 0.7500

Summary:
M_tot: 0.462 μB per formula unit



two | ## TbDy4Ho (PBE-GGA)

Data for a relaxed TbDy4Ho crystal.

abc: 8.5618 8.5618 6.4160
angles: 100.91 100.91 118.50
Positions (direct):
Tb 0.0854 0.9146 0.7500
Tb 0.9146 0.0854 0.2500
Dy 0.0764 0.3273 0.8814
Dy 0.2110 0.6067 0.4595
Dy 0.3273 0.0764 0.3814
Dy 0.3933 0.7890 0.0405
Dy 0.6067 0.2110 0.9595
Dy 0.6727 0.9236 0.6186
Dy 0.7890 0.3933 0.5405
Dy 0.9236 0.6727 0.1186
Ho 0.4961 0.5039 0.7500
Ho 0.5039 0.4961 0.2500

Summary:
M_tot: 0.000 μB per formula unit



Which structure is the most stable? The one labeled two.



one | ## Tb3Dy8Ho4 (PBE-GGA)

Data for a relaxed Tb3Dy8Ho4 crystal.

abc: 12.3395 12.3395 12.3395
angles: 32.43 32.43 32.43
Positions (direct):
Tb 0.0000 0.5000 0.5000
Tb 0.5000 0.0000 0.5000
Tb 0.5000 0.5000 0.0000
Dy 0.2506 0.2506 0.7485
Dy 0.2506 0.7485 0.2506
Dy 0.2515 0.7494 0.7494
Dy 0.2545 0.2545 0.2545
Dy 0.7455 0.7455 0.7455
Dy 0.7485 0.2506 0.2506
Dy 0.7494 0.2515 0.7494
Dy 0.7494 0.7494 0.2515
Ho 0.0000 0.0000 0.0000
Ho 0.1637 0.1637 0.1637
Ho 0.5000 0.5000 0.5000
Ho 0.8363 0.8363 0.8363

Summary:
M_tot: 0.007 μB per formula unit



two | ## Tb3Dy8Ho4 (PBE-GGA)

Data for a relaxed Tb3Dy8Ho4 crystal.

abc: 9.1930 9.1930 6.7043
angles: 111.36 111.36 87.47
Positions (direct):
Tb 0.0000 0.0000 0.0000
Tb 0.0000 0.5000 0.0000
Tb 0.5000 0.0000 0.0000
Dy 0.1423 0.8577 0.5000
Dy 0.2319 0.2319 0.9670
Dy 0.2350 0.2350 0.4927
Dy 0.2478 0.7522 0.0000
Dy 0.7522 0.2478 0.0000
Dy 0.7650 0.7650 0.5073
Dy 0.7681 0.7681 0.0330
Dy 0.8577 0.1423 0.5000
Ho 0.0000 0.5000 0.5000
Ho 0.5000 0.0000 0.5000
Ho 0.5000 0.5000 0.0000
Ho 0.5000 0.5000 0.5000

Summary:
M_tot: 0.002 μB per formula unit



Which structure is the most stable? The one labeled one.



one | ## Tb12DyHo7 (PBE-GGA)

Data for a relaxed Tb12DyHo7 crystal.

abc: 8.6595 8.6595 8.6595
angles: 94.90 94.90 94.90
Positions (direct):
Tb 0.0217 0.0849 0.3529
Tb 0.0849 0.3529 0.0217
Tb 0.1856 0.7498 0.3146
Tb 0.2502 0.6854 0.8144
Tb 0.3146 0.1856 0.7498
Tb 0.3529 0.0217 0.0849
Tb 0.6471 0.9783 0.9151
Tb 0.6854 0.8144 0.2502
Tb 0.7498 0.3146 0.1856
Tb 0.8144 0.2502 0.6854
Tb 0.9151 0.6471 0.9783
Tb 0.9783 0.9151 0.6471
Dy 0.5000 0.5000 0.5000
Ho 0.0000 0.0000 0.0000
Ho 0.1484 0.4165 0.4795
Ho 0.4165 0.4795 0.1484
Ho 0.4795 0.1484 0.4165
Ho 0.5205 0.8516 0.5835
Ho 0.5835 0.5205 0.8516
Ho 0.8516 0.5835 0.5205

Summary:
M_tot: 0.000 μB per formula unit



two | ## Tb12DyHo7 (PBE-GGA)

Data for a relaxed Tb12DyHo7 crystal.

abc: 10.9064 10.9064 10.9064
angles: 115.97 115.97 115.97
Positions (direct):
Tb 0.0706 0.2831 0.4942
Tb 0.2059 0.7473 0.2699
Tb 0.2527 0.7301 0.7941
Tb 0.2699 0.2059 0.7473
Tb 0.2831 0.4942 0.0706
Tb 0.4942 0.0706 0.2831
Tb 0.5058 0.9294 0.7169
Tb 0.7169 0.5058 0.9294
Tb 0.7301 0.7941 0.2527
Tb 0.7473 0.2699 0.2059
Tb 0.7941 0.2527 0.7301
Tb 0.9294 0.7169 0.5058
Dy 0.0000 0.0000 0.0000
Ho 0.0734 0.3773 0.2138
Ho 0.2138 0.0734 0.3773
Ho 0.3773 0.2138 0.0734
Ho 0.5000 0.5000 0.5000
Ho 0.6227 0.7862 0.9266
Ho 0.7862 0.9266 0.6227
Ho 0.9266 0.6227 0.7862

Summary:
M_tot: 0.000 μB per formula unit



Which structure is the most stable? The one labeled one.